[1]
Material: Pu2Ru3Pt
Method: DFT, PBE
State: optimized geometry

Unit cell a=9.1665 b=5.3026 c=5.4006 alpha=90.00 beta=124.49 gamma=90.00
Space group C2/m (No. 12)
Asymmetric unit:
Pu1 0.1224 0.0000 0.3677
Ru1 0.0000 0.5000 0.0000
Ru2 0.2500 0.2500 0.0000
Pt1 0.0000 0.5000 0.5000

Output
Formation enthalpy at 0 K   -0.317 eV per atom
Crystal system   monoclinic

[2]
Material: Ti3P2N
Method: DFT, PBE
State: optimized geometry

Unit cell a=8.7992 b=6.9783 c=5.3401 alpha=90.00 beta=90.00 gamma=90.00
Space group Cmcm (No. 63)
Asymmetric unit:
Ti1 0.0000 0.1439 0.2500
Ti2 0.1656 0.5000 0.0000
P1 0.1383 0.1849 0.7500
N1 0.0000 0.4327 0.2500

Output
Crystal system   orthorhombic
Uncorrected formation energy   -1.057 eV per atom

[3]
Material: Dy2In5Pd3
Method: DFT, PBE
State: optimized geometry

Unit cell a=4.5115 b=26.7795 c=7.2557 alpha=90.00 beta=90.00 gamma=90.00
Space group Cmc2_1 (No. 36)
Asymmetric unit:
Dy1 0.0000 0.0219 0.0000
Dy2 0.0000 0.3259 0.9182
In1 0.0000 0.0985 0.6274
In2 0.0000 0.2069 0.1196
In3 0.0000 0.2082 0.7062
In4 0.0000 0.3768 0.4754
In5 0.0000 0.4473 0.8292
Pd1 0.0000 0.1098 0.2399
Pd2 0.0000 0.2732 0.4103
Pd3 0.0000 0.4553 0.2191

Output
Formation enthalpy at 0 K   -0.617 eV per atom
Crystal system   orthorhombic

[4]
Material: TaCr2Br
Method: DFT, PBE
State: optimized geometry

Unit cell a=3.0651 b=3.0365 c=7.5557 alpha=90.00 beta=90.02 gamma=90.00
Space group Pm (No. 6)
Asymmetric unit:
Ta1 0.0000 0.0000 0.0000
Cr1 0.9996 0.0000 0.6115
Cr2 0.4997 0.5000 0.7827
Br1 0.0016 0.5000 0.2941

Output
Polymorph energy (0 for the lowest one)   0.000 eV per atom
Crystal system   monoclinic
Uncorrected formation energy   0.308 eV per atom

[5]
Material: SrAg3N
Method: DFT, PBE
State: optimized geometry

Unit cell a=4.6804 b=4.6804 c=4.6804 alpha=90.00 beta=90.00 gamma=90.00
Space group Pm-3m (No. 221)
Asymmetric unit:
Sr1 0.0000 0.0000 0.0000
Ag1 0.0000 0.5000 0.5000
N1 0.5000 0.5000 0.5000

Output
Polymorph energy (0 for the lowest one)   0.000 eV per atom
Crystal system   cubic
Uncorrected formation energy   0.399 eV per atom

[6]
Material: Ac2TeH2Br
Method: DFT, PBE
State: optimized geometry

Unit cell a=4.3186 b=4.3186 c=9.2350 alpha=90.00 beta=90.00 gamma=120.00
Space group P-3m1 (No. 164)
Asymmetric unit:
Ac1 0.3333 0.6667 0.2379
Te1 0.0000 0.0000 0.0000
H1 0.3333 0.6667 0.7310
Br1 0.0000 0.0000 0.5000

Output
DFT total energy   -4.42 eV per atom
Crystal system   trigonal

[7]
Material: KGaHg2
Method: DFT, PBE
State: optimized geometry

Unit cell a=4.5395 b=4.5395 c=21.6373 alpha=90.00 beta=90.00 gamma=120.00
Space group R3m (No. 160, hexagonal axes)
Asymmetric unit:
K1 0.0000 0.0000 0.0000
Ga1 0.0000 0.0000 0.1724
Hg1 0.0000 0.0000 0.5586
Hg2 0.0000 0.0000 0.7772

Output
Formation enthalpy at 0 K   -0.101 eV per atom
Crystal system   trigonal

[8]
Material: CaSmDy4
Method: DFT, PBE
State: optimized geometry

Unit cell a=9.4231 b=9.4231 c=9.4231 alpha=90.00 beta=90.00 gamma=90.00
Space group F-43m (No. 216)
Asymmetric unit:
Ca1 0.0000 0.0000 0.0000
Sm1 0.2500 0.2500 0.7500
Dy1 0.1236 0.1236 0.3764

Output
Formation enthalpy at 0 K   0.215 eV per atom
Polymorph energy (0 for the lowest one)   0.166 eV per atom
Crystal system   cubic

[9]
Material: ZnSnBi3
Method: DFT, PBE
State: optimized geometry

Unit cell a=5.8638 b=5.8638 c=5.8638 alpha=90.00 beta=90.00 gamma=90.00
Space group Pm-3m (No. 221)
Asymmetric unit:
Zn1 0.0000 0.0000 0.0000
Sn1 0.5000 0.5000 0.5000
Bi1 0.0000 0.5000 0.5000

Output
Formation enthalpy at 0 K   0.791 eV per atom
Polymorph energy (0 for the lowest one)   0.360 eV per atom
Crystal system   cubic

[10]
Material: Li7CaTl2
Method: DFT, PBE
State: optimized geometry

Unit cell a=7.2654 b=14.3515 c=4.9222 alpha=90.00 beta=90.00 gamma=90.00
Space group Cmmm (No. 65)
Asymmetric unit:
Li1 0.0000 0.0000 0.0000
Li2 0.0000 0.1132 0.5000
Li3 0.2041 0.3903 0.0000
Ca1 0.0000 0.5000 0.5000
Tl1 0.0000 0.2310 0.0000

Output
Formation enthalpy at 0 K   0.058 eV per atom
Crystal system   orthorhombic

[11]
Material: ZnHg3
Method: DFT, PBE
State: optimized geometry

Unit cell a=4.5343 b=4.5343 c=4.5343 alpha=90.00 beta=90.00 gamma=90.00
Space group Pm-3m (No. 221)
Asymmetric unit:
Zn1 0.0000 0.0000 0.0000
Hg1 0.0000 0.5000 0.5000

Output
Formation enthalpy at 0 K   0.138 eV per atom
Polymorph energy (0 for the lowest one)   0.070 eV per atom
Crystal system   cubic

[12]
Material: CuSnAu3
Method: DFT, PBE
State: optimized geometry

Unit cell a=6.8386 b=6.8386 c=4.8709 alpha=90.00 beta=90.00 gamma=120.00
Space group P6_3/mmc (No. 194)
Asymmetric unit:
Cu1 0.0000 0.0000 0.0000
Sn1 0.3333 0.6667 0.2500
Au1 0.1920 0.3841 0.7500

Output
Formation enthalpy at 0 K   0.039 eV per atom
Polymorph energy (0 for the lowest one)   0.071 eV per atom
Crystal system   hexagonal

[13]
Material: Dy3Ga11
Method: DFT, PBE
State: optimized geometry

Unit cell a=4.2145 b=10.0286 c=12.8250 alpha=90.00 beta=90.00 gamma=90.00
Space group Immm (No. 71)
Asymmetric unit:
Dy1 0.0000 0.0000 0.0000
Dy2 0.0000 0.0000 0.3223
Ga1 0.0000 0.2155 0.5000
Ga2 0.0000 0.2731 0.1442
Ga3 0.0000 0.3759 0.3354
Ga4 0.0000 0.5000 0.0000

Output
Formation enthalpy at 0 K   -0.423 eV per atom
Crystal system   orthorhombic